DFT (PBE) results for a relaxed CaHo2Er crystal.

a b c (Å): 12.621 12.621 12.621
angles (deg): 16.04 16.04 16.04
Atoms (fractional coordinates):
Ca  0.000  0.000  0.000
Ho  0.092  0.092  0.092
Ho  0.908  0.908  0.908
Er  0.500  0.500  0.500

Output
ρ ... 6.7 g/cm³
DOS(E_F) ... 5.10 states/eV/cell
V ... 133.78 Å³/f.u.
ΔE_f ... 0.163 eV per atom
Space-group type ... R-3m, No. 166

***

DFT (PBE) results for a relaxed SmSc2Tc9 crystal.

a b c (Å): 9.154 9.154 9.154
angles (deg): 33.57 33.57 33.57
Atoms (fractional coordinates):
Sm  0.000  0.000  0.000
Sc  0.144  0.144  0.144
Sc  0.856  0.856  0.856
Tc  0.074  0.591  0.591
Tc  0.338  0.338  0.338
Tc  0.409  0.409  0.926
Tc  0.409  0.926  0.409
Tc  0.500  0.500  0.500
Tc  0.591  0.074  0.591
Tc  0.591  0.591  0.074
Tc  0.662  0.662  0.662
Tc  0.926  0.409  0.409

Output
ρ ... 8.9 g/cm³
DOS(E_F) ... 11.80 states/eV/cell
V ... 208.86 Å³/f.u.
ΔE_f ... -0.096 eV per atom
Space-group type ... R-3m, No. 166

***

DFT (PBE) results for a relaxed LaAl2P crystal.

a b c (Å): 5.738 5.738 5.738
angles (deg): 138.77 134.04 63.43
Atoms (fractional coordinates):
La  0.000  0.000  0.000
Al  0.399  0.399  0.000
Al  0.731  0.231  0.500
P  0.247  0.747  0.500

Output
ρ ... 4.2 g/cm³
DOS(E_F) ... 1.33 states/eV/cell
V ... 88.34 Å³/f.u.
ΔE_f ... -0.435 eV per atom
Space-group type ... Imm2, No. 44

***

DFT (PBE) results for a relaxed CaAcZn2 crystal.

a b c (Å): 5.424 5.424 3.779
angles (deg): 90.00 90.00 90.00
Atoms (fractional coordinates):
Ca  0.000  0.000  0.000
Ac  0.500  0.500  0.000
Zn  0.000  0.500  0.500
Zn  0.500  0.000  0.500

Output
ρ ... 5.9 g/cm³
DOS(E_F) ... 2.01 states/eV/cell
V ... 111.18 Å³/f.u.
ΔE_f ... -0.248 eV per atom
Space-group type ... P4/mmm, No. 123

***

DFT (PBE) results for a relaxed Ca2WCl crystal.

a b c (Å): 6.353 6.353 6.353
angles (deg): 151.77 130.43 58.02
Atoms (fractional coordinates):
Ca  0.000  0.000  0.000
Ca  0.690  0.190  0.500
W  0.260  0.760  0.500
Cl  0.454  0.454  0.000

Output
ρ ... 5.4 g/cm³
DOS(E_F) ... 4.19 states/eV/cell
V ... 91.67 Å³/f.u.
Space-group type ... Imm2, No. 44
Energy relative to the elements, uncorrected ... 0.242 eV per atom

***

DFT (PBE) results for a relaxed Pa2CuTc crystal.

a b c (Å): 4.921 4.921 3.318
angles (deg): 90.00 90.00 90.00
Atoms (fractional coordinates):
Pa  0.000  0.500  0.000
Pa  0.500  0.000  0.000
Cu  0.000  0.000  0.500
Tc  0.500  0.500  0.500

Output
ρ ... 12.9 g/cm³
DOS(E_F) ... 5.66 states/eV/cell
V ... 80.34 Å³/f.u.
ΔE_f ... -0.027 eV per atom
Space-group type ... P4/mmm, No. 123

***

DFT (PBE) results for a relaxed LiIn2GaO crystal.

a b c (Å): 5.133 5.133 4.763
angles (deg): 90.00 90.00 90.00
Atoms (fractional coordinates):
Li  0.000  0.000  0.000
In  0.000  0.500  0.500
In  0.500  0.000  0.500
Ga  0.000  0.000  0.500
O  0.500  0.500  0.000

Output
ρ ... 4.3 g/cm³
DOS(E_F) ... 3.65 states/eV/cell
V ... 125.50 Å³/f.u.
Space-group type ... P4/mmm, No. 123
Energy relative to the elements, uncorrected ... 0.399 eV per atom

***

DFT (PBE) results for a relaxed SrSbTe2Pt crystal.

a b c (Å): 5.947 5.947 6.019
angles (deg): 90.00 90.00 90.00
Atoms (fractional coordinates):
Sr  0.000  0.000  0.000
Sb  0.000  0.000  0.500
Te  0.000  0.500  0.000
Te  0.500  0.000  0.000
Pt  0.500  0.500  0.500

Output
ρ ... 5.1 g/cm³
DOS(E_F) ... 7.24 states/eV/cell
V ... 212.88 Å³/f.u.
Space-group type ... P4/mmm, No. 123
Energy relative to the elements, uncorrected ... 1.105 eV per atom

***

DFT (PBE) results for a relaxed PmHo4 crystal.

a b c (Å): 5.609 5.609 5.609
angles (deg): 90.00 90.00 90.00
Atoms (fractional coordinates):
Pm  0.000  0.000  0.000
Ho  0.000  0.000  0.500
Ho  0.000  0.500  0.000
Ho  0.500  0.000  0.000
Ho  0.500  0.500  0.500

Output
ρ ... 7.6 g/cm³
DOS(E_F) ... 7.58 states/eV/cell
V ... 176.51 Å³/f.u.
ΔE_f ... 0.698 eV per atom
Space-group type ... Pm-3m, No. 221

***

DFT (PBE) results for a relaxed Cs6H2Cl crystal.

a b c (Å): 9.345 9.345 12.682
angles (deg): 108.00 108.00 32.86
Atoms (fractional coordinates):
Cs  0.106  0.106  0.302
Cs  0.336  0.336  0.969
Cs  0.376  0.376  0.356
Cs  0.624  0.624  0.644
Cs  0.664  0.664  0.031
Cs  0.894  0.894  0.698
H  0.242  0.242  0.139
H  0.758  0.758  0.861
Cl  0.000  0.000  0.500

Output
Total DFT energy (no corrections) ... -1.965 eV/atom
ρ ... 2.4 g/cm³
DOS(E_F) ... 3.34 states/eV/cell
V ... 568.90 Å³/f.u.
Space-group type ... C2/m, No. 12

***

DFT (PBE) results for a relaxed Na2LaB crystal.

a b c (Å): 12.925 12.925 12.925
angles (deg): 162.03 162.03 25.51
Atoms (fractional coordinates):
Na  0.098  0.125  0.473
Na  0.375  0.902  0.027
Na  0.652  0.625  0.527
Na  0.875  0.348  0.973
La  0.250  0.750  0.500
La  0.500  0.500  0.000
B  0.000  0.000  0.000
B  0.750  0.250  0.500

Output
ρ ... 3.2 g/cm³
DOS(E_F) ... 8.85 states/eV/cell
V ... 102.69 Å³/f.u.
ΔE_f ... 0.634 eV per atom
Space-group type ... I-42d, No. 122

***

DFT (PBE) results for a relaxed Pm2PrY6Th2 crystal.

a b c (Å): 6.206 6.206 11.557
angles (deg): 94.03 94.03 119.25
Atoms (fractional coordinates):
Pm  0.174  0.826  0.000
Pm  0.826  0.174  0.000
Pr  0.000  0.000  0.500
Y  0.067  0.406  0.745
Y  0.273  0.273  0.246
Y  0.406  0.067  0.745
Y  0.594  0.933  0.255
Y  0.727  0.727  0.754
Y  0.933  0.594  0.255
Th  0.336  0.664  0.500
Th  0.664  0.336  0.500

Output
ρ ... 6.2 g/cm³
DOS(E_F) ... 16.02 states/eV/cell
V ... 384.54 Å³/f.u.
ΔE_f ... 0.193 eV per atom
Space-group type ... C2/m, No. 12

***

> Among the records above, which one has the lowest DOS(E_F)?

LaAl2P

***

Copy entry 7 word for word.
DFT (PBE) results for a relaxed LiIn2GaO crystal.

a b c (Å): 5.133 5.133 4.763
angles (deg): 90.00 90.00 90.00
Atoms (fractional coordinates):
Li  0.000  0.000  0.000
In  0.000  0.500  0.500
In  0.500  0.000  0.500
Ga  0.000  0.000  0.500
O  0.500  0.500  0.000

Output
ρ ... 4.3 g/cm³
DOS(E_F) ... 3.65 states/eV/cell
V ... 125.50 Å³/f.u.
Space-group type ... P4/mmm, No. 123
Energy relative to the elements, uncorrected ... 0.399 eV per atom